The following is a DFT calculation (PBE) of MnP2Ru2 after structural relaxation.

Properties
As for the total energy: -0.5746 Ry/atom. The symmetry is No. 127. As for the formation energy: -0.11 eV/atom. The value obtained for the volume is 127 Å³ per cell. Its crystal system is tetragonal. As for the density of states at the Fermi level: 5.5 states/eV/f.u. For the total magnetization, the calculation gives 0.00 μB/cell.

a b c (Å): 6.748 6.748 2.790
angles (deg): 90.00 90.00 90.00
Sites, in units of the cell vectors:
Mn: 0.000 0.000 0.000
Mn: 0.500 0.500 0.000
P: 0.157 0.343 0.000
P: 0.343 0.843 0.000
P: 0.657 0.157 0.000
P: 0.843 0.657 0.000
Ru: 0.148 0.648 0.500
Ru: 0.352 0.148 0.500
Ru: 0.648 0.852 0.500
Ru: 0.852 0.352 0.500

---

The following is a DFT calculation (PBE) of SrLiW2 after structural relaxation.

Properties
As for the total energy: -0.4710 Ry/atom. The symmetry is No. 12. As for the formation energy: 0.97 eV/atom. The value obtained for the volume is 78 Å³ per cell. Its crystal system is monoclinic. Its excess energy over the best structure of this formula in the dataset is 338 meV per atom. As for the density of states at the Fermi level: 2.6 states/eV/f.u. For the total magnetization, the calculation gives 0.00 μB/cell.

a b c (Å): 6.146 6.146 2.819
angles (deg): 99.55 99.55 127.80
Sites, in units of the cell vectors:
Sr: 0.000 0.000 0.000
Li: 0.500 0.500 0.000
W: 0.000 0.500 0.500
W: 0.500 0.000 0.500